Pu4InPb2 | PBE | optimized geometry

```
7
Lattice="6.0624 0.0000 0.0000 0.0000 6.0624 0.0000 -3.0312 -3.0312 5.6788" Properties=species:S:1:pos:R:3 pbc="T T T"
Pu 3.0312 0.0000 2.8394
Pu 3.0312 0.0000 0.0000
Pb 3.0312 3.0312 1.5631
Pu 0.0000 3.0312 2.8394
Pu 0.0000 3.0312 0.0000
Pb 0.0000 0.0000 4.1156
In 0.0000 0.0000 0.0000
```

## Properties
- SG: No. 139
- DFT total energy: -66.4 eV per cell
- V: 29.82 Å³/atom
- Formation energy from the elements: 0.149 eV per atom


DyAlCoCu | PBE | optimized geometry

```
4
Lattice="-0.5372 3.0931 -3.2138 -1.2598 -1.2457 -4.1286 -4.1190 1.0000 -1.4893" Properties=species:S:1:pos:R:3 pbc="T T T"
Co -4.4371 2.1355 -6.6237
Cu -1.4790 0.7118 -2.2079
Al -2.9581 1.4237 -4.4158
Dy 0.0000 0.0000 0.0000
```

## Properties
- SG: No. 216
- DFT total energy: -20.5 eV per cell
- V: 16.03 Å³/atom
- Formation energy from the elements: -0.239 eV per atom


Ba2TcAg | PBE | optimized geometry

```
4
Lattice="-1.9849 -0.9793 -6.5338 -6.5619 -1.2527 -1.7213 4.5539 4.2283 2.9957" Properties=species:S:1:pos:R:3 pbc="T T T"
Tc -3.9552 -1.0329 -3.8202
Ba -0.6184 1.1275 -3.6071
Ag -3.5522 0.8223 -1.8241
Ba -0.1405 -0.0367 -0.1357
```

## Properties
- SG: No. 44
- DFT total energy: -14.7 eV per cell
- V: 31.36 Å³/atom
- Formation energy from the elements: 0.579 eV per atom


Pm3ThH8 | PBE | optimized geometry

```
12
Lattice="-4.2594 3.3591 0.0196 -3.3592 -4.2593 -0.0293 -0.0028 -0.0351 5.4245" Properties=species:S:1:pos:R:3 pbc="T T T"
H -4.0356 1.4500 1.3605
H -5.7189 -0.6844 1.3458
H -1.9011 -0.2333 1.3507
Pm -2.1311 1.6620 2.7221
H -4.0370 1.4324 4.0788
H -3.5858 -2.3853 4.0543
Pm -1.6810 -2.1472 2.6976
H -1.9025 -0.2509 4.0690
Th 0.0000 0.0000 0.0000
H -3.5844 -2.3677 1.3360
Pm -3.8093 -0.4501 -0.0049
H -5.7203 -0.7020 4.0641
```

## Properties
- SG: No. 221
- DFT total energy: -56.1 eV per cell
- V: 13.30 Å³/atom


TaCdHg | PBE | optimized geometry

```
3
Lattice="4.5876 0.0000 0.0000 2.2938 3.9730 0.0000 2.2938 1.3243 3.7458" Properties=species:S:1:pos:R:3 pbc="T T T"
Cd 4.5876 2.6487 1.8729
Hg 6.8815 3.9730 2.8094
Ta 0.0000 0.0000 0.0000
```

## Properties
- SG: No. 216
- DFT total energy: -10.4 eV per cell
- V: 22.76 Å³/atom
- Formation energy from the elements: 0.894 eV per atom


DyAs2Pd7 | PBE | optimized geometry

```
10
Lattice="-2.7356 1.0102 -2.9235 -0.9588 -3.9875 -0.4807 -5.3949 2.3762 8.7855" Properties=species:S:1:pos:R:3 pbc="T T T"
Pd -7.1138 1.2093 4.1583
Dy 0.0000 0.0000 0.0000
As -4.3677 -1.1798 0.7631
Pd -6.2254 -1.2896 5.3797
As -4.7217 0.5786 4.6182
Pd -4.1005 -1.5500 3.3014
Pd -1.9756 -1.8104 1.2230
Pd -2.8639 0.6885 0.0016
Pd -1.8472 -1.4886 -1.7021
Pd -4.9889 0.9489 2.0800
```

## Properties
- SG: No. 139
- DFT total energy: -56.2 eV per cell
- V: 17.34 Å³/atom
- Formation energy from the elements: -0.593 eV per atom


FeRuPt2Rh2 | PBE | optimized geometry

```
12
Lattice="5.3489 0.0000 0.0000 0.0000 5.0285 0.4192 0.0000 -1.4148 6.4677" Properties=species:S:1:pos:R:3 pbc="T T T"
Rh 4.0117 1.8325 3.4577
Pt 2.6659 2.8889 5.6435
Rh 1.3373 1.7812 3.4292
Ru 1.3373 0.3480 5.6078
Fe 1.3373 3.2598 1.2679
Pt 0.0086 2.8889 5.6435
Ru 4.0117 3.2657 1.2791
Pt 2.6830 0.7248 1.2434
Fe 4.0117 0.3540 5.6191
Pt 5.3404 0.7248 1.2434
Rh 1.3373 4.2850 3.6102
Rh 4.0117 -0.6713 3.2768
```

## Properties
- SG: No. 11
- DFT total energy: -87.0 eV per cell
- V: 14.76 Å³/atom
- Formation energy from the elements: 0.170 eV per atom


BaSrHf4O12 | PBE | optimized geometry

```
18
Lattice="-0.3986 5.5329 1.9208 0.2822 1.9403 -5.5332 -8.2684 -0.4005 -0.5622" Properties=species:S:1:pos:R:3 pbc="T T T"
O -0.2564 6.4745 -0.8401
O -6.2479 5.3144 -3.1334
Hf -6.3896 2.4725 0.5379
O -2.3961 4.5466 -0.0553
O -6.1895 1.5610 -1.3190
O -4.0465 4.4062 -4.8519
O -6.0927 2.5310 -4.1059
O -6.3354 4.3558 -0.3231
O -0.1991 2.7887 0.9415
Sr -3.8564 1.7634 -5.7659
Ba -0.0573 3.7318 -1.8162
Hf -6.4476 6.1984 -1.2632
O -1.9490 2.7317 -3.8242
Hf -2.3357 6.3975 -0.9836
Hf -2.2777 2.6716 0.8174
O -2.1366 1.7573 -1.0435
O -3.9909 0.8339 -3.1251
O -2.1951 5.5107 -2.8578
```

## Properties
- SG: No. 38
- DFT total energy: -153.3 eV per cell
- V: 15.88 Å³/atom
- Formation energy without anion corrections: -2.80 eV/atom


Y2MnAl2Ru5 | PBE | optimized geometry

```
20
Lattice="3.2837 0.0000 0.0000 0.0000 10.0164 0.0000 0.0000 0.0000 10.0164" Properties=species:S:1:pos:R:3 pbc="T T T"
Al 0.0000 3.7186 1.2896
Al 0.0000 6.2977 8.7268
Ru 1.6418 6.9426 4.3825
Ru 1.6418 3.0737 5.6339
Ru 1.6418 5.0082 0.0000
Ru 1.6418 0.6257 8.0819
Ru 1.6418 0.0000 5.0082
Y 0.0000 3.2899 8.2981
Al 0.0000 8.7268 3.7186
Ru 1.6418 8.0819 9.3907
Ru 1.6418 9.3907 1.9345
Ru 1.6418 5.6339 6.9426
Al 0.0000 1.2896 6.2977
Y 0.0000 8.2981 6.7265
Y 0.0000 1.7183 3.2899
Y 0.0000 6.7265 1.7183
Ru 1.6418 1.9345 0.6257
Ru 1.6418 4.3825 3.0737
Mn 0.0000 5.0082 5.0082
Mn 0.0000 0.0000 0.0000
```

## Properties
- SG: No. 127
- DFT total energy: -157.3 eV per cell
- V: 16.47 Å³/atom
- Formation energy from the elements: -0.271 eV per atom